Li4MgNi3O8 | PBE with a Hubbard U | relaxed

Summary:
excess energy over the best structure of this formula in the dataset: 10 meV per atom
crystal system: trigonal

```
16
Lattice="2.895 1.671 4.786 -2.895 1.671 4.786 0.000 -3.343 4.786" Properties=species:S:1:pos:R:3 pbc="T T T"
Li 0.000 0.000 0.000
Li -1.447 -0.836 4.786
Li -1.447 0.836 9.572
Li 0.000 1.671 4.786
Mg 0.000 0.000 7.179
Ni -2.895 0.000 7.179
Ni -1.447 0.836 2.393
Ni 1.447 0.836 2.393
O -1.523 -0.879 8.224
O 0.000 0.000 3.560
O 0.000 -1.758 6.134
O -1.523 0.879 6.134
O 1.523 -0.879 8.224
O 0.000 1.758 8.224
O 0.000 0.000 10.798
O 1.523 0.879 6.134
```